LiRu2Rh | PBE-GGA | relaxed

Summary:
The formation energy from the elements comes out at 0.341 eV/atom. The value obtained for the volume is 13.7 Å³/atom. As for the symmetry: No. 123.

```
LiRu2Rh
1.0
4.470 0.000 0.000
0.000 4.470 0.000
0.000 0.000 2.736
Li Ru Rh
1 2 1
Cartesian
0.000 0.000 0.000
0.000 2.235 1.368
2.235 0.000 1.368
2.235 2.235 0.000
```

=====

Li2RuRh | PBE-GGA | relaxed

Summary:
The formation energy from the elements comes out at 0.025 eV/atom. The value obtained for the volume is 13.6 Å³/atom. As for the symmetry: No. 71.

```
Li2RuRh
1.0
-1.349 2.244 4.507
1.349 -2.244 4.507
1.349 2.244 -4.507
Li Ru Rh
2 1 1
Cartesian
0.000 0.000 2.208
0.000 0.000 6.805
0.000 2.244 0.000
1.349 0.000 0.000
```

=====

Question: What is the formation energy from the elements in the second record?
Answer: 0.025 eV/atom